{
  "formula": "MgTaCr2",
  "functional": "PBE",
  "state": "optimized geometry",
  "total_energy_ev_per_atom": -7.79,
  "volume_a3_per_cell": 61,
  "lattice_angstrom": [[-3.492, -1.843, -0.742], [1.019, -0.963, -2.402], [2.320, -4.940, 1.354]],
  "species": ["Mg", "Cr", "Cr", "Ta"],
  "fractional_positions": [[0.000, 0.459, 0.479], [0.000, 0.054, 0.026], [0.500, 0.233, 0.214], [0.500, 0.754, 0.781]]
}

***

{
  "formula": "MgTa2Cr",
  "functional": "PBE",
  "state": "optimized geometry",
  "total_energy_ev_per_atom": -8.30,
  "volume_a3_per_cell": 69,
  "lattice_angstrom": [[5.138, -0.013, 0.000], [1.988, 4.737, 0.000], [-3.563, -2.362, 2.850]],
  "species": ["Ta", "Ta", "Cr", "Mg"],
  "fractional_positions": [[0.500, 0.500, 0.000], [0.000, 0.000, 0.000], [0.250, 0.750, 0.500], [0.750, 0.250, 0.500]]
}

***

{
  "formula": "MgTa2Cr",
  "functional": "PBE",
  "state": "optimized geometry",
  "total_energy_ev_per_atom": -8.35,
  "volume_a3_per_cell": 67,
  "lattice_angstrom": [[-3.513, 0.273, -4.142], [-1.934, -1.634, 4.817], [-1.348, 2.219, 0.719]],
  "species": ["Ta", "Mg", "Ta", "Cr"],
  "fractional_positions": [[0.500, 0.000, 0.500], [0.500, 0.500, 0.000], [0.000, 0.000, 0.000], [0.000, 0.500, 0.500]]
}

***

{
  "formula": "MgTaCr2",
  "functional": "PBE",
  "state": "optimized geometry",
  "total_energy_ev_per_atom": -7.77,
  "volume_a3_per_cell": 61,
  "lattice_angstrom": [[-1.549, 2.161, -0.592], [0.036, -1.704, -2.125], [-7.027, -4.158, 3.217]],
  "species": ["Mg", "Cr", "Ta", "Cr"],
  "fractional_positions": [[0.500, 0.500, 0.250], [0.000, 0.000, 0.989], [0.500, 0.500, 0.750], [0.000, 0.000, 0.511]]
}

***

{
  "formula": "MgTaCr2",
  "functional": "PBE",
  "state": "optimized geometry",
  "total_energy_ev_per_atom": -7.19,
  "volume_a3_per_cell": 140,
  "lattice_angstrom": [[7.017, 0.000, 0.000], [0.000, 7.017, 0.000], [3.508, 3.508, 2.852]],
  "species": ["Ta", "Cr", "Ta", "Cr", "Cr", "Mg", "Mg", "Cr"],
  "fractional_positions": [[0.750, 0.250, 0.500], [0.637, 0.125, 0.250], [0.000, 0.000, 0.000], [0.375, 0.363, 0.750], [0.113, 0.625, 0.250], [0.250, 0.750, 0.500], [0.500, 0.500, 0.000], [0.875, 0.887, 0.750]]
}

***

{
  "formula": "MgTaCr2",
  "functional": "PBE",
  "state": "optimized geometry",
  "total_energy_ev_per_atom": -7.71,
  "volume_a3_per_cell": 62,
  "lattice_angstrom": [[-1.810, 1.922, 1.836], [1.569, -2.080, 3.724], [3.193, 2.800, 0.218]],
  "species": ["Cr", "Ta", "Mg", "Cr"],
  "fractional_positions": [[0.000, 0.000, 0.000], [0.000, 0.500, 0.500], [0.500, 0.000, 0.500], [0.500, 0.500, 0.000]]
}

***

{
  "formula": "MgTaCr2",
  "functional": "PBE",
  "state": "optimized geometry",
  "total_energy_ev_per_atom": -7.77,
  "volume_a3_per_cell": 65,
  "lattice_angstrom": [[4.361, 0.000, 0.000], [0.000, 2.759, -0.012], [0.000, 0.911, 5.406]],
  "species": ["Mg", "Ta", "Cr", "Cr"],
  "fractional_positions": [[0.500, 0.250, 0.250], [0.500, 0.750, 0.750], [0.000, 0.060, 0.936], [0.000, 0.440, 0.564]]
}

***

{
  "formula": "MgTa2Cr",
  "functional": "PBE",
  "state": "optimized geometry",
  "total_energy_ev_per_atom": -8.38,
  "volume_a3_per_cell": 70,
  "lattice_angstrom": [[9.125, 0.000, 0.000], [8.627, 2.970, 0.000], [8.627, 1.444, 2.596]],
  "species": ["Ta", "Ta", "Mg", "Cr"],
  "fractional_positions": [[0.988, 0.988, 0.988], [0.512, 0.512, 0.512], [0.750, 0.750, 0.750], [0.250, 0.250, 0.250]]
}